(1)
Entry from Alexandria: a geometry-optimized Y3B7Mo structure (GGA-PBE).

The structure belongs to space group Cmcm (No. 63); the cell edges are 3.4797, 16.0206 and 9.4891 Å and the angles 90.00°, 90.00° and 90.00°. The asymmetric unit holds Y at (0.0000, 0.1065, 0.0602), Y at (0.0000, 0.2433, 0.7500), B at (0.0000, 0.2726, 0.0329), B at (0.0000, 0.3653, 0.1472), B at (0.0000, 0.4569, 0.7500), B at (0.0000, 0.4802, 0.0920) and Mo at (0.0000, 0.0536, 0.7500).

For the energy of formation, the calculation gives -589 meV/atom. The value obtained for the energy is -333.78 eV for the cell shown. The calculation puts the calculated density at 5504 kg/m3.

=====

(2)
Entry from Alexandria: a geometry-optimized Ac3Tl2In2 structure (GGA-PBE).

The structure belongs to space group C2/m (No. 12); the cell edges are 12.5425, 4.8209 and 8.8332 Å and the angles 90.00°, 112.50° and 90.00°. The asymmetric unit holds Ac at (0.0000, 0.0000, 0.0000), Ac at (0.1757, 0.0000, 0.6375), Tl at (0.0459, 0.5000, 0.3386) and In at (0.1825, 0.5000, 0.9402).

For the energy of formation, the calculation gives -379 meV/atom. The value obtained for the energy is -50.38 eV for the cell shown. The calculation puts the calculated density at 8880 kg/m3.

=====

(3)
Entry from Alexandria: a geometry-optimized TcSb2Pb structure (GGA-PBE).

The structure belongs to space group P2/m (No. 10); the cell edges are 3.3361, 3.3358 and 8.3639 Å and the angles 90.00°, 90.09° and 90.00°. The asymmetric unit holds Tc at (0.0000, 0.0000, 0.0000), Sb at (0.5000, 0.5000, 0.1920) and Pb at (0.0000, 0.0000, 0.5000).

Its uncorrected formation energy is 0.062 eV/atom. The value obtained for the energy is -22.07 eV for the cell shown. The calculation puts the calculated density at 9789 kg/m3.

=====

(4)
Entry from Alexandria: a geometry-optimized Ce3Pu2Ru3 structure (GGA-PBE).

The structure belongs to space group Cmcm (No. 63); the cell edges are 3.9699, 12.5117 and 14.4142 Å and the angles 90.00°, 90.00° and 90.00°. The asymmetric unit holds Ce at (0.0000, 0.0523, 0.1239), Ce at (0.0000, 0.3364, 0.2500), Pu at (0.0000, 0.2269, 0.5985), Ru at (0.0000, 0.3917, 0.0248) and Ru at (0.0000, 0.3975, 0.7500).

For the energy of formation, the calculation gives -204 meV/atom. The value obtained for the energy is -303.71 eV for the cell shown. The calculation puts the calculated density at 11240 kg/m3. Its energy relative to the lowest polymorph listed for this composition is 0 meV/atom.

=====

(5)
Entry from Alexandria: a geometry-optimized NdP2Ru3 structure (GGA-PBE).

The structure belongs to space group C2/m (No. 12); the cell edges are 15.8425, 3.9544 and 9.6686 Å and the angles 90.00°, 108.07° and 90.00°. The asymmetric unit holds Nd at (0.0000, 0.0000, 0.0000), Nd at (0.1575, 0.0000, 0.6983), P at (0.0365, 0.5000, 0.7782), P at (0.1400, 0.5000, 0.4503), P at (0.1977, 0.0000, 0.1324), Ru at (0.0000, 0.5000, 0.5000), Ru at (0.0431, 0.0000, 0.3335), Ru at (0.1243, 0.5000, 0.2040), Ru at (0.1796, 0.5000, 0.9641) and Ru at (0.2171, 0.0000, 0.3926).

For the energy of formation, the calculation gives -758 meV/atom. The value obtained for the energy is -287.79 eV for the cell shown. The calculation puts the calculated density at 8814 kg/m3.

=====

(6)
Entry from Alexandria: a geometry-optimized AcPm2As structure (GGA-PBE).

The structure belongs to space group Fm-3m (No. 225); the cell edges are 7.8064, 7.8064 and 7.8064 Å and the angles 90.00°, 90.00° and 90.00°. The asymmetric unit holds Ac at (0.0000, 0.0000, 0.0000), Pm at (0.2500, 0.2500, 0.2500) and As at (0.0000, 0.0000, 0.5000).

For the energy of formation, the calculation gives -137 meV/atom. The value obtained for the energy is -75.23 eV for the cell shown. The calculation puts the calculated density at 8265 kg/m3. Its energy relative to the lowest polymorph listed for this composition is 526 meV/atom.

=====

(7)
Entry from Alexandria: a geometry-optimized PmSm2In2 structure (GGA-PBE).

The structure belongs to space group P2_1/m (No. 11); the cell edges are 6.8506, 5.1675 and 9.3464 Å and the angles 90.00°, 111.39° and 90.00°. The asymmetric unit holds Pm at (0.0883, 0.2500, 0.1703), Sm at (0.2697, 0.7500, 0.5420), Sm at (0.4513, 0.7500, 0.9072), In at (0.1521, 0.2500, 0.7544) and In at (0.4045, 0.7500, 0.2494).

For the energy of formation, the calculation gives -273 meV/atom. The value obtained for the energy is -42.06 eV for the cell shown. The calculation puts the calculated density at 7280 kg/m3. Its energy relative to the lowest polymorph listed for this composition is 113 meV/atom.

=====

(8)
Entry from Alexandria: a geometry-optimized Zr3Ag5 structure (GGA-PBE).

The structure belongs to space group Cm (No. 8); the cell edges are 5.4566, 15.5724 and 7.7234 Å and the angles 90.00°, 103.05° and 90.00°. The asymmetric unit holds Zr at (0.0000, 0.0000, 0.0000), Zr at (0.0786, 0.5000, 0.6072), Zr at (0.2832, 0.3303, 0.3126), Zr at (0.3754, 0.2702, 0.9342), Ag at (0.0317, 0.1147, 0.6803), Ag at (0.0448, 0.5000, 0.2386), Ag at (0.0644, 0.0000, 0.3924), Ag at (0.2495, 0.1465, 0.2159), Ag at (0.4714, 0.1944, 0.5908) and Ag at (0.4973, 0.0905, 0.9228).

For the energy of formation, the calculation gives 76 meV/atom. The value obtained for the energy is -157.17 eV for the cell shown. The calculation puts the calculated density at 8447 kg/m3. Its energy relative to the lowest polymorph listed for this composition is 92 meV/atom.

=====

(9)
Entry from Alexandria: a geometry-optimized Sc2VReW structure (GGA-PBE).

The structure belongs to space group P4/mmm (No. 123); the cell edges are 4.5214, 4.5214 and 4.6242 Å and the angles 90.00°, 90.00° and 90.00°. The asymmetric unit holds Sc at (0.0000, 0.5000, 0.0000), V at (0.0000, 0.0000, 0.0000), Re at (0.5000, 0.5000, 0.5000) and W at (0.0000, 0.0000, 0.5000).

For the energy of formation, the calculation gives 1347 meV/atom. The value obtained for the energy is -40.45 eV for the cell shown. The calculation puts the calculated density at 8974 kg/m3.

=====

> What is the energy in the fourth record?

-303.71 eV for the cell shown

=====

> Which value of energy does entry 7 give?

-42.06 eV for the cell shown

=====

> What is the calculated density in the fifth record?

8814 kg/m3